[1]
LiFe2Sb | Alexandria via LeMat-Bulk | GGA-PBE | optimized geometry; formation energy (no corrections) = 216.3 kJ/mol of formula units; VASP energy = -5.18 eV/atom
1.0
-2.169 -2.767 -8.039
-4.697 -3.365 -6.604
-4.207 -0.641 -7.673
Fe Li Sb
2 1 1
direct
0.002 0.002 0.002 Fe
0.498 0.498 0.498 Fe
0.250 0.250 0.250 Li
0.750 0.750 0.750 Sb

=====

[2]
SrB2H8 | Alexandria via LeMat-Bulk | GGA-PBE | optimized geometry; VASP energy = -4.19 eV/atom
1.0
5.731 0.352 1.476
1.137 4.044 2.105
0.725 0.115 4.641
Sr B H
1 2 8
direct
0.000 0.000 0.000 Sr
0.706 0.765 0.765 B
0.294 0.235 0.235 B
0.219 0.403 0.973 H
0.781 0.027 0.597 H
0.477 0.841 0.841 H
0.523 0.159 0.159 H
0.219 0.973 0.403 H
0.781 0.597 0.027 H
0.782 0.597 0.597 H
0.218 0.403 0.403 H

=====

[3]
NbVHg2 | Alexandria via LeMat-Bulk | GGA-PBE | optimized geometry; VASP energy = -4.48 eV/atom; calculated formation energy = 472 meV/atom
1.0
-2.977 -1.120 3.523
-4.561 1.288 -0.248
-3.359 -3.282 -0.685
Nb Hg V
1 2 1
direct
0.500 0.500 0.500 Nb
0.250 0.250 0.250 Hg
0.750 0.750 0.750 Hg
0.000 0.000 0.000 V

=====

[4]
NpFe2I8 | Alexandria via LeMat-Bulk | GGA-PBE | optimized geometry; formation energy (no corrections) = -450.1 kJ/mol of formula units; VASP energy = -4.27 eV/atom
1.0
-2.095 -2.520 6.194
6.828 -5.404 0.444
5.488 5.223 4.314
Np I Fe
1 8 2
direct
0.000 0.000 0.000 Np
0.236 0.286 0.905 I
0.764 0.095 0.714 I
0.280 0.812 0.812 I
0.720 0.188 0.188 I
0.236 0.905 0.286 I
0.764 0.714 0.095 I
0.773 0.629 0.629 I
0.227 0.371 0.371 I
0.659 0.812 0.812 Fe
0.341 0.188 0.188 Fe

=====

[5]
Th2TcGe2 | Alexandria via LeMat-Bulk | GGA-PBE | optimized geometry; VASP energy = -7.49 eV/atom; calculated formation energy = -601 meV/atom
1.0
4.261 0.000 1.010
2.124 5.552 0.533
-0.034 -0.264 9.638
Th Tc Ge
4 2 4
direct
0.675 0.325 0.325 Th
0.919 0.268 0.894 Th
0.325 0.675 0.675 Th
0.081 0.732 0.106 Th
0.654 0.067 0.624 Tc
0.346 0.933 0.376 Tc
0.080 0.270 0.570 Ge
0.636 0.855 0.874 Ge
0.920 0.730 0.430 Ge
0.364 0.145 0.126 Ge

=====

[6]
Pr5Dy2Th2 | Alexandria via LeMat-Bulk | GGA-PBE | optimized geometry; VASP energy = -5.27 eV/atom; calculated formation energy = 58 meV/atom
1.0
6.241 -1.126 0.324
-4.603 8.313 -5.303
0.260 -1.913 7.877
Pr Dy Th
5 2 2
direct
0.656 0.884 0.335 Pr
0.344 0.116 0.665 Pr
0.331 0.447 0.678 Pr
0.669 0.553 0.322 Pr
0.000 0.000 0.000 Pr
0.331 0.778 0.670 Dy
0.669 0.222 0.330 Dy
0.997 0.338 0.007 Th
0.003 0.662 0.993 Th